Crystalline LaPr3Sm4S8 at its relaxed geometry. Source: Alexandria, functional PBE-GGA.

a b c (Å): 8.1454 8.1454 8.1454
angles (deg): 59.73 59.73 59.73
Last column: nearest neighbours and their distance in Å.
Fractional coordinates of all 16 atoms:
La1 0.0000 0.0000 0.0000  6 S 2.91
Pr1 0.0000 0.5000 0.5000  6 S 2.91
Pr2 0.5000 0.0000 0.5000  6 S 2.91
Pr3 0.5000 0.5000 0.0000  6 S 2.91
Sm1 0.0000 0.0000 0.5000  6 S 2.84
Sm2 0.0000 0.5000 0.0000  6 S 2.84
Sm3 0.5000 0.0000 0.0000  6 S 2.84
Sm4 0.5000 0.5000 0.5000  6 S 2.83
S1 0.2469 0.2469 0.2469  3 Sm 2.84, 3 Pr 2.91
S2 0.2472 0.7465 0.7465  3 Sm 2.83-2.84, 2 Pr 2.91, 1 La 2.91
S3 0.2535 0.2535 0.7528  3 Sm 2.83-2.84, 2 Pr 2.91, 1 La 2.91
S4 0.2535 0.7528 0.2535  3 Sm 2.83-2.84, 2 Pr 2.91, 1 La 2.91
S5 0.7465 0.2472 0.7465  3 Sm 2.83-2.84, 2 Pr 2.91, 1 La 2.91
S6 0.7465 0.7465 0.2472  3 Sm 2.83-2.84, 2 Pr 2.91, 1 La 2.91
S7 0.7528 0.2535 0.2535  3 Sm 2.83-2.84, 2 Pr 2.91, 1 La 2.91
S8 0.7531 0.7531 0.7531  3 Sm 2.84, 3 Pr 2.91

Results
Symmetry: R-3m
D(E_F) (states/eV per cell): 8.71
Total moment (μB per atom): 0.0000
Final energy (eV per atom): -6.487
ΔE_f (raw) (kJ per mole of atoms): -196.8


Crystalline La2Pr3SmS6 at its relaxed geometry. Source: Alexandria, functional PBE-GGA.

a b c (Å): 7.1224 7.1224 7.1021
angles (deg): 99.63 99.63 120.11
Last column: nearest neighbours and their distance in Å.
Fractional coordinates of all 12 atoms:
La1 0.1662 0.8338 0.0000  6 S 2.91
La2 0.8338 0.1662 0.0000  6 S 2.91
Pr1 0.0000 0.0000 0.5000  6 S 2.90-2.94
Pr2 0.3319 0.6681 0.5000  6 S 2.90-2.93
Pr3 0.6681 0.3319 0.5000  6 S 2.90-2.93
Sm1 0.5000 0.5000 0.0000  6 S 2.86-2.87
S1 0.0897 0.4178 0.7527  1 Sm 2.86, 3 Pr 2.90-2.93, 2 La 2.91
S2 0.2557 0.2557 0.2497  1 Sm 2.87, 3 Pr 2.90-2.94, 2 La 2.91
S3 0.4178 0.0897 0.7527  1 Sm 2.86, 3 Pr 2.90-2.93, 2 La 2.91
S4 0.5822 0.9103 0.2473  1 Sm 2.86, 3 Pr 2.90-2.93, 2 La 2.91
S5 0.7443 0.7443 0.7503  1 Sm 2.87, 3 Pr 2.90-2.94, 2 La 2.91
S6 0.9103 0.5822 0.2473  1 Sm 2.86, 3 Pr 2.90-2.93, 2 La 2.91

Results
Symmetry: C2/m
D(E_F) (states/eV per cell): 5.57
Total moment (μB per atom): 0.0000
Final energy (eV per atom): -6.549
ΔE_f (raw) (kJ per mole of atoms): -200.3


Crystalline LaPrSm4S8 at its relaxed geometry. Source: Alexandria, functional PBE-GGA.

a b c (Å): 8.3288 8.3288 8.3288
angles (deg): 59.73 59.73 59.73
Last column: nearest neighbours and their distance in Å.
Fractional coordinates of all 14 atoms:
La1 0.0000 0.0000 0.0000  4 S 2.75-2.77
Pr1 0.6249 0.6249 0.6249  6 S 2.88-2.89
Sm1 0.1281 0.6249 0.6249  6 S 2.82-2.84
Sm2 0.2512 0.2512 0.2512  4 S 2.67-2.70
Sm3 0.6249 0.1281 0.6249  6 S 2.82-2.84
Sm4 0.6249 0.6249 0.1281  6 S 2.82-2.84
S1 0.3789 0.3789 0.8567  3 Sm 2.67-2.84, 1 Pr 2.89
S2 0.3789 0.8567 0.3789  3 Sm 2.67-2.84, 1 Pr 2.89
S3 0.3832 0.3832 0.3832  4 Sm 2.70-2.84
S4 0.4052 0.8688 0.8688  1 La 2.75, 2 Sm 2.82, 1 Pr 2.88
S5 0.8567 0.3789 0.3789  3 Sm 2.67-2.84, 1 Pr 2.89
S6 0.8647 0.8647 0.8647  1 La 2.77, 3 Sm 2.82
S7 0.8688 0.4052 0.8688  1 La 2.75, 2 Sm 2.82, 1 Pr 2.88
S8 0.8688 0.8688 0.4052  1 La 2.75, 2 Sm 2.82, 1 Pr 2.88

Results
Symmetry: R3m
D(E_F) (states/eV per cell): 8.94
Total moment (μB per atom): 0.0000
Final energy (eV per atom): -6.334
ΔE_f (raw) (kJ per mole of atoms): -186.6


Crystalline La3PrSm4S8 at its relaxed geometry. Source: Alexandria, functional PBE-GGA.

a b c (Å): 8.1620 8.1620 8.1620
angles (deg): 59.85 59.85 59.85
Last column: nearest neighbours and their distance in Å.
Fractional coordinates of all 16 atoms:
La1 0.0000 0.5000 0.5000  6 S 2.92
La2 0.5000 0.0000 0.5000  6 S 2.92
La3 0.5000 0.5000 0.0000  6 S 2.92
Pr1 0.0000 0.0000 0.0000  6 S 2.92
Sm1 0.0000 0.0000 0.5000  6 S 2.84
Sm2 0.0000 0.5000 0.0000  6 S 2.84
Sm3 0.5000 0.0000 0.0000  6 S 2.84
Sm4 0.5000 0.5000 0.5000  6 S 2.85
S1 0.2464 0.2464 0.2464  3 Sm 2.84, 3 La 2.92
S2 0.2461 0.7469 0.7469  3 Sm 2.84-2.85, 1 Pr 2.92, 2 La 2.92
S3 0.2531 0.2531 0.7539  3 Sm 2.84-2.85, 1 Pr 2.92, 2 La 2.92
S4 0.2531 0.7539 0.2531  3 Sm 2.84-2.85, 1 Pr 2.92, 2 La 2.92
S5 0.7469 0.2461 0.7469  3 Sm 2.84-2.85, 1 Pr 2.92, 2 La 2.92
S6 0.7469 0.7469 0.2461  3 Sm 2.84-2.85, 1 Pr 2.92, 2 La 2.92
S7 0.7539 0.2531 0.2531  3 Sm 2.84-2.85, 1 Pr 2.92, 2 La 2.92
S8 0.7536 0.7536 0.7536  3 Sm 2.84, 3 La 2.92

Results
Symmetry: R-3m
D(E_F) (states/eV per cell): 8.81
Total moment (μB per atom): 0.0000
Final energy (eV per atom): -6.545
ΔE_f (raw) (kJ per mole of atoms): -200.6


Crystalline La3Pr3SmS8 at its relaxed geometry. Source: Alexandria, functional PBE-GGA.

a b c (Å): 8.2609 8.2609 8.2609
angles (deg): 59.58 59.58 59.58
Last column: nearest neighbours and their distance in Å.
Fractional coordinates of all 15 atoms:
La1 0.0000 0.5000 0.5000  6 S 2.92
La2 0.5000 0.0000 0.5000  6 S 2.92
La3 0.5000 0.5000 0.0000  6 S 2.92
Pr1 0.0000 0.0000 0.5000  6 S 2.91
Pr2 0.0000 0.5000 0.0000  6 S 2.91
Pr3 0.5000 0.0000 0.0000  6 S 2.91
Sm1 0.5000 0.5000 0.5000  6 S 2.84
S1 0.2496 0.2496 0.2496  3 Pr 2.91, 3 La 2.92
S2 0.2549 0.7440 0.7440  1 Sm 2.84, 2 Pr 2.91, 2 La 2.92
S3 0.2560 0.2560 0.7451  1 Sm 2.84, 2 Pr 2.91, 2 La 2.92
S4 0.2560 0.7451 0.2560  1 Sm 2.84, 2 Pr 2.91, 2 La 2.92
S5 0.7440 0.2549 0.7440  1 Sm 2.84, 2 Pr 2.91, 2 La 2.92
S6 0.7440 0.7440 0.2549  1 Sm 2.84, 2 Pr 2.91, 2 La 2.92
S7 0.7451 0.2560 0.2560  1 Sm 2.84, 2 Pr 2.91, 2 La 2.92
S8 0.7504 0.7504 0.7504  3 Pr 2.91, 3 La 2.92

Results
Symmetry: R-3m
D(E_F) (states/eV per cell): 7.52
Total moment (μB per atom): 0.0000
Final energy (eV per atom): -6.557
ΔE_f (raw) (kJ per mole of atoms): -202.6


Crystalline SrLaPr2S4 at its relaxed geometry. Source: Alexandria, functional PBE-GGA.

a b c (Å): 7.1907 4.1303 7.2176
angles (deg): 90.00 109.16 90.00
Last column: nearest neighbours and their distance in Å.
Fractional coordinates of all 8 atoms:
Sr1 0.0000 0.0000 0.0000  6 S 2.95-2.96
La1 0.5000 0.5000 0.0000  6 S 2.94
Pr1 0.0000 0.5000 0.5000  6 S 2.93
Pr2 0.5000 0.0000 0.5000  6 S 2.92
S1 0.2499 0.0000 0.7480  3 Pr 2.92-2.93, 2 La 2.94, 1 Sr 2.95
S2 0.2529 0.5000 0.2540  3 Pr 2.92-2.93, 1 La 2.94, 2 Sr 2.96
S3 0.7471 0.5000 0.7460  3 Pr 2.92-2.93, 1 La 2.94, 2 Sr 2.96
S4 0.7501 0.0000 0.2520  3 Pr 2.92-2.93, 2 La 2.94, 1 Sr 2.95

Results
Symmetry: P2/m
D(E_F) (states/eV per cell): 3.47
Total moment (μB per atom): 0.0000
Final energy (eV per atom): -6.152
ΔE_f (raw) (kJ per mole of atoms): -199.4


Q: What is the final energy in the fourth record?
A: -6.545 eV per atom


Q: Which value of total moment does entry 2 give?
A: 0.0000 μB per atom